The following is a PBE-GGA calculation of NaMg2Pt2 after structural relaxation, from the Alexandria database.

Lattice parameters (Å, degrees): 7.8761 7.8761 2.9316 90.00 90.00 90.00
With the nearest neighbours (Å) after each atom.
Fractional positions:
Na 0.0000 0.0000 0.0000  2 Na 2.93, 4 Pt 3.00
Na 0.5000 0.5000 0.0000  2 Na 2.93, 4 Pt 3.00
Mg 0.1452 0.3548 0.5000  6 Pt 2.72-2.74, 2 Mg 2.93
Mg 0.3548 0.8548 0.5000  6 Pt 2.72-2.74, 2 Mg 2.93
Mg 0.6452 0.1452 0.5000  6 Pt 2.72-2.74, 2 Mg 2.93
Mg 0.8548 0.6452 0.5000  6 Pt 2.72-2.74, 2 Mg 2.93
Pt 0.1489 0.6489 0.0000  6 Mg 2.72-2.74, 2 Pt 2.93, 2 Na 3.00
Pt 0.3511 0.1489 0.0000  6 Mg 2.72-2.74, 2 Pt 2.93, 2 Na 3.00
Pt 0.6489 0.8511 0.0000  6 Mg 2.72-2.74, 2 Pt 2.93, 2 Na 3.00
Pt 0.8511 0.3511 0.0000  6 Mg 2.72-2.74, 2 Pt 2.93, 2 Na 3.00

Energy above the most stable polymorph in this dataset ... 0.0000 eV per atom
SG ... No. 127
Fermi-level density of states ... 0.26 states/eV/atom
Energy relative to the elements ... -0.65 eV/atom
DFT total energy ... -3.96 eV per atom